1.
A relaxed structure of ScCuC, computed with PBE.

Cell lengths 4.4152, 3.4476, 5.4268 Å; angles 71.47, 89.47, 90.01 degrees
Atoms (fractional coordinates):
Sc  0.0147  0.2339  0.7742
C  0.1237  0.8622  0.5179
Cu  0.8108  0.9832  0.2771
C  0.5156  0.1372  0.9682
Cu  0.5014  0.7537  0.7346
Sc  0.3520  0.4974  0.2481

Values from the calculation:
Space group: Cm
Energy relative to the elements: -0.0604 eV per atom
Magnetization: 0.00 μB/cell
Volume: 39.2 Å³/f.u.

=====

2.
A relaxed structure of VSnTe2, computed with PBE.

Cell lengths 6.8289, 6.8289, 7.8967 Å; angles 64.38, 64.38, 90.00 degrees
Site moments in Bohr magnetons follow the coordinates.
Atoms (fractional coordinates):
Te  0.1762  0.6250  0.2500  -0.10
Te  0.3750  0.4262  0.7500  -0.10
Sn  0.0000  0.0000  0.0000  0.08
Sn  0.7500  0.2500  0.5000  0.08
Te  0.8750  0.8238  0.7500  -0.10
V  0.2500  0.7500  0.5000  2.53
Te  0.5738  0.1250  0.2500  -0.10
V  0.5000  0.5000  0.0000  2.53

Values from the calculation:
Space group: I-42d
Formation energy without anion corrections: 0.046 eV per atom
Magnetization: 5.99 μB/cell
Volume: 145.7 Å³/f.u.

=====

3.
A relaxed structure of Rb2Cd12Sn7, computed with PBE.

Cell lengths 4.9434, 11.7954, 11.7954 Å; angles 120.00, 90.00, 90.00 degrees
Atoms (fractional coordinates):
Rb  0.7487  0.6667  0.3333
Sn  0.7495  0.5842  0.9093
Cd  0.7581  0.8711  0.7351
Sn  0.2505  0.9093  0.3251
Sn  0.5000  0.0000  0.0000
Cd  0.2419  0.1289  0.2649
Cd  0.7484  0.3417  0.9225
Sn  0.2505  0.6749  0.5842
Cd  0.7484  0.0775  0.4191
Cd  0.2419  0.7351  0.8640
Cd  0.7581  0.2649  0.1360
Sn  0.2505  0.4158  0.0907
Cd  0.2516  0.6583  0.0775
Cd  0.2516  0.9225  0.5809
Sn  0.7495  0.3251  0.4158
Cd  0.7581  0.8640  0.1289
Cd  0.7484  0.5809  0.6583
Rb  0.2513  0.3333  0.6667
Sn  0.7495  0.0907  0.6749
Cd  0.2516  0.4191  0.3417
Cd  0.2419  0.1360  0.8711

Values from the calculation:
Space group: P-3
Energy relative to the elements: -0.0404 eV per atom
Magnetization: 0.00 μB/cell
Volume: 595.6 Å³/f.u.

=====

4.
A relaxed structure of KRuSe2, computed with PBE.

Cell lengths 7.5461, 7.5461, 6.6081 Å; angles 55.18, 55.18, 90.00 degrees
Atoms (fractional coordinates):
Ru  0.7500  0.2500  0.5000
Se  0.3750  0.2661  0.7500
K  0.2500  0.7500  0.5000
Ru  0.0000  0.0000  0.0000
Se  0.0161  0.6250  0.2500
Se  0.8750  0.9839  0.7500
Se  0.7339  0.1250  0.2500
K  0.5000  0.5000  0.0000

Values from the calculation:
Space group: I-42d
Formation energy without anion corrections: -0.476 eV per atom
Magnetization: 0.00 μB/cell
Volume: 111.0 Å³/f.u.